Record 1
The following is a GGA-PBE calculation of a relaxed structure of PrIn, from OQMD via LeMat-Bulk.

The calculated total energy comes out at -4.02 eV/atom.

a = 3.5675 Å, b = 3.5688 Å, c = 5.5018 Å
α = 90.00°, β = 90.00°, γ = 119.99°
Last column: nearest neighbours and their distance in Å.
Atoms (fractional coordinates):
In 0.6666 0.3331 0.7500  6 Pr 3.44, 6 In 3.57
Pr 0.3334 0.6669 0.2500  6 In 3.44, 6 Pr 3.57

Record 2
The following is a GGA-PBE calculation of a relaxed structure of NaLaCdTe3, from OQMD via LeMat-Bulk.

The calculated total energy comes out at -3.79 eV/atom.

a = 8.9183 Å, b = 4.5893 Å, c = 10.7673 Å
α = 90.00°, β = 102.93°, γ = 90.00°
Last column: nearest neighbours and their distance in Å.
Atoms (fractional coordinates):
La 0.3147 0.7500 0.8548  6 Te 3.20-3.37
La 0.6853 0.2500 0.1452  6 Te 3.20-3.37
Cd 0.0841 0.2500 0.6014  4 Te 2.83-2.98
Cd 0.9159 0.7500 0.3986  4 Te 2.83-2.98
Te 0.9401 0.7500 0.1408  1 Cd 2.83
Te 0.2457 0.7500 0.5336  3 Cd 2.89-2.98
Te 0.5608 0.2500 0.8405  3 La 3.20-3.22, 2 Na 3.22
Te 0.7543 0.2500 0.4664  3 Cd 2.89-2.98
Te 0.4392 0.7500 0.1595  3 La 3.20-3.22, 2 Na 3.22
Te 0.0599 0.2500 0.8592  1 Cd 2.83
Na 0.2112 0.2500 0.2180  4 Te 3.22-3.30
Na 0.7888 0.7500 0.7820  4 Te 3.22-3.30

Record 3
The following is a GGA-PBE calculation of a relaxed structure of Co3Os3W2, from OQMD via LeMat-Bulk.

The calculation puts the formation energy at -0.03 eV/atom.

a = 4.2586 Å, b = 5.3683 Å, c = 5.3683 Å
α = 60.34°, β = 90.00°, γ = 90.00°
Last column: nearest neighbours and their distance in Å.
Atoms (fractional coordinates):
Os 0.5000 0.1662 0.1662  4 W 2.65-2.70, 4 Os 2.66, 4 Co 2.68-2.69
Os 0.0000 0.3283 0.8260  4 Co 2.58-2.79, 4 W 2.60-2.76, 4 Os 2.66-2.71
Os 0.0000 0.8260 0.3283  4 Co 2.58-2.79, 4 W 2.60-2.76, 4 Os 2.66-2.71
Co 0.0000 0.8405 0.8405  4 Co 2.58, 4 Os 2.58-2.79, 4 W 2.62-2.70
Co 0.5000 0.6735 0.1529  4 W 2.56-2.81, 4 Co 2.58-2.81, 4 Os 2.62-2.69
Co 0.5000 0.1529 0.6735  4 W 2.56-2.81, 4 Co 2.58-2.81, 4 Os 2.62-2.69
W 0.5000 0.6758 0.6758  6 Co 2.56-2.81, 6 Os 2.68-2.70
W 0.0000 0.3367 0.3367  6 Os 2.60-2.76, 6 Co 2.65-2.70

Record 4
The following is a GGA-PBE calculation of a relaxed structure of TlCdBi2, from OQMD via LeMat-Bulk.

The calculated total energy comes out at -2.77 eV/atom.

a = 5.5440 Å, b = 5.5440 Å, c = 5.5440 Å
α = 60.00°, β = 60.00°, γ = 60.00°
Last column: nearest neighbours and their distance in Å.
Atoms (fractional coordinates):
Bi 0.5000 0.5000 0.5000  4 Bi 3.39-3.40, 4 Cd 3.39-3.40
Bi 0.2500 0.2500 0.2500  4 Bi 3.39-3.40, 4 Tl 3.39
Cd 0.7500 0.7500 0.7500  4 Tl 3.39-3.40, 4 Bi 3.39-3.40
Tl 0.0000 0.0000 0.0000  4 Cd 3.39-3.40, 4 Bi 3.39

Record 5
The following is a GGA-PBE calculation of a relaxed structure of HfTaGaCo, from OQMD via LeMat-Bulk.

The calculated total energy comes out at -7.85 eV/atom.

a = 4.5362 Å, b = 4.5362 Å, c = 4.5362 Å
α = 60.00°, β = 60.00°, γ = 60.00°
Last column: nearest neighbours and their distance in Å.
Atoms (fractional coordinates):
Hf 0.5000 0.5000 0.5000  4 Ta 2.78, 4 Co 2.78
Ga 0.0000 0.0000 0.0000  4 Ta 2.78, 4 Co 2.78
Co 0.7500 0.7500 0.7500  4 Hf 2.78, 4 Ga 2.78
Ta 0.2500 0.2500 0.2500  4 Ga 2.78, 4 Hf 2.78

Record 6
The following is a GGA-PBE calculation of a relaxed structure of Tc2BAu, from OQMD via LeMat-Bulk.

The calculated total energy comes out at -6.73 eV/atom.

a = 4.2831 Å, b = 4.2831 Å, c = 4.2831 Å
α = 60.00°, β = 60.00°, γ = 60.00°
Last column: nearest neighbours and their distance in Å.
Atoms (fractional coordinates):
Au 0.2500 0.2500 0.2500  4 Tc 2.62, 4 B 2.62
B 0.5000 0.5000 0.5000  4 Tc 2.62, 4 Au 2.62
Tc 0.7500 0.7500 0.7500  4 Tc 2.62, 4 B 2.62
Tc 0.0000 0.0000 0.0000  4 Tc 2.62, 4 Au 2.62

Copy entry 3 word for word.
The following is a GGA-PBE calculation of a relaxed structure of Co3Os3W2, from OQMD via LeMat-Bulk.

The calculation puts the formation energy at -0.03 eV/atom.

a = 4.2586 Å, b = 5.3683 Å, c = 5.3683 Å
α = 60.34°, β = 90.00°, γ = 90.00°
Last column: nearest neighbours and their distance in Å.
Atoms (fractional coordinates):
Os 0.5000 0.1662 0.1662  4 W 2.65-2.70, 4 Os 2.66, 4 Co 2.68-2.69
Os 0.0000 0.3283 0.8260  4 Co 2.58-2.79, 4 W 2.60-2.76, 4 Os 2.66-2.71
Os 0.0000 0.8260 0.3283  4 Co 2.58-2.79, 4 W 2.60-2.76, 4 Os 2.66-2.71
Co 0.0000 0.8405 0.8405  4 Co 2.58, 4 Os 2.58-2.79, 4 W 2.62-2.70
Co 0.5000 0.6735 0.1529  4 W 2.56-2.81, 4 Co 2.58-2.81, 4 Os 2.62-2.69
Co 0.5000 0.1529 0.6735  4 W 2.56-2.81, 4 Co 2.58-2.81, 4 Os 2.62-2.69
W 0.5000 0.6758 0.6758  6 Co 2.56-2.81, 6 Os 2.68-2.70
W 0.0000 0.3367 0.3367  6 Os 2.60-2.76, 6 Co 2.65-2.70

Question: What is the formula in the third record?
Answer: Co3Os3W2